1.
Material: ErPu5Pt5
Method: DFT, PBE
State: optimized geometry

Output
Energy of formation from the pure elements in eV per formula unit: -7.42

Lattice parameters (Å, degrees): 12.848 5.723 8.072 90.00 107.87 90.00
Space group C2/m (No. 12)
Inequivalent atoms, fractional coordinates:
Er 0.000 0.000 0.000
Pu 0.000 0.000 0.500
Pu 0.161 0.500 0.334
Pu 0.170 0.500 0.839
Pt 0.000 0.500 0.000
Pt 0.165 0.000 0.825
Pt 0.167 0.000 0.337

2.
Material: TbY3ErSc
Method: DFT, PBE
State: optimized geometry

Output
Energy of formation from the pure elements in eV per formula unit: 0.25

Lattice parameters (Å, degrees): 4.949 14.911 9.932 90.00 90.00 90.00
Space group Cmcm (No. 63)
Inequivalent atoms, fractional coordinates:
Tb 0.000 0.002 0.250
Y 0.000 0.166 0.001
Y 0.000 0.332 0.250
Er 0.000 0.500 0.000
Sc 0.000 0.334 0.750

3.
Material: B2C
Method: DFT, PBE
State: optimized geometry

Output
Energy of formation from the pure elements in eV per formula unit: 1.23

Lattice parameters (Å, degrees): 2.740 2.743 11.755 90.00 90.00 90.00
Space group Pmm2 (No. 25)
Inequivalent atoms, fractional coordinates:
B 0.000 0.000 0.000
B 0.000 0.000 0.277
B 0.000 0.000 0.624
B 0.000 0.500 0.383
B 0.000 0.500 0.748
B 0.500 0.000 0.876
B 0.500 0.500 0.136
B 0.500 0.500 0.490
C 0.000 0.500 0.056
C 0.500 0.000 0.216
C 0.500 0.000 0.563
C 0.500 0.500 0.812

4.
Material: Bi2O3
Method: DFT, PBE
State: optimized geometry

Output
Formation energy without anion corrections in eV/f.u.: -6.01

Lattice parameters (Å, degrees): 9.425 7.375 10.307 90.00 103.18 90.00
Space group P2_1/c (No. 14)
Inequivalent atoms, fractional coordinates:
Bi 0.076 0.093 0.179
Bi 0.210 0.619 0.069
Bi 0.283 0.098 0.927
Bi 0.423 0.623 0.836
O 0.072 0.154 0.968
O 0.179 0.136 0.717
O 0.222 0.699 0.385
O 0.274 0.549 0.654
O 0.284 0.066 0.428
O 0.433 0.630 0.181

5.
Material: Ce2Ho4N
Method: DFT, PBE
State: optimized geometry

Output
Formation energy without anion corrections in eV/f.u.: -1.18

Lattice parameters (Å, degrees): 4.717 4.717 17.901 90.00 90.00 90.00
Space group I4/mmm (No. 139)
Inequivalent atoms, fractional coordinates:
Ce 0.000 0.000 0.180
Ho 0.000 0.000 0.368
Ho 0.000 0.500 0.000
N 0.000 0.000 0.500

6.
Material: Er3GeSe2
Method: DFT, PBE
State: optimized geometry

Output
Formation energy without anion corrections in eV/f.u.: -9.22

Lattice parameters (Å, degrees): 4.094 5.747 12.222 90.00 90.00 90.00
Space group Immm (No. 71)
Inequivalent atoms, fractional coordinates:
Er 0.000 0.000 0.000
Er 0.000 0.000 0.342
Ge 0.000 0.500 0.000
Se 0.000 0.500 0.331

> What is the formula in the sixth record?

Er3GeSe2

Repeat the second record exactly.
Material: TbY3ErSc
Method: DFT, PBE
State: optimized geometry

Output
Energy of formation from the pure elements in eV per formula unit: 0.25

Lattice parameters (Å, degrees): 4.949 14.911 9.932 90.00 90.00 90.00
Space group Cmcm (No. 63)
Inequivalent atoms, fractional coordinates:
Tb 0.000 0.002 0.250
Y 0.000 0.166 0.001
Y 0.000 0.332 0.250
Er 0.000 0.500 0.000
Sc 0.000 0.334 0.750